Below is CaZnP2 at its PBEsol-relaxed geometry, with properties calculated at the meta-GGA SCAN level.

POSCAR file:
```
CaZnP2
1.0
-3.569 3.569 2.903
3.569 -3.569 2.903
3.569 3.569 -2.903
Ca Zn P
2 2 4
direct
0.000 0.000 0.000
0.750 0.250 0.500
0.250 0.750 0.500
0.500 0.500 0.000
0.176 0.625 0.051
0.375 0.426 0.551
0.574 0.125 0.949
0.875 0.824 0.449
```

formation energy from the elements: -0.46 eV per atom
crystal system: tetragonal
E: -11.46 eV per atom



Below is AlIrCl3 at its PBEsol-relaxed geometry, with properties calculated at the meta-GGA SCAN level.

POSCAR file:
```
AlIrCl3
1.0
4.764 0.000 0.000
0.000 4.764 0.000
0.000 0.000 4.764
Al Ir Cl
1 1 3
direct
0.000 0.000 0.000
0.500 0.500 0.500
0.000 0.500 0.500
0.500 0.000 0.500
0.500 0.500 0.000
```

crystal system: cubic
formation energy without anion corrections: -6 meV/atom
E: -20.56 eV per atom



Below is Ba4Ga4SnSe12 at its PBEsol-relaxed geometry, with properties calculated at the meta-GGA SCAN level.

POSCAR file:
```
Ba4Ga4SnSe12
1.0
13.658 0.000 0.000
0.000 13.658 0.000
0.000 0.000 6.424
Ba Ga Sn Se
8 8 2 24
direct
0.020 0.307 0.454
0.193 0.480 0.954
0.307 0.980 0.546
0.480 0.807 0.046
0.520 0.193 0.046
0.693 0.020 0.546
0.807 0.520 0.954
0.980 0.693 0.454
0.142 0.756 0.950
0.244 0.142 0.050
0.256 0.642 0.450
0.358 0.256 0.550
0.642 0.744 0.550
0.744 0.358 0.450
0.756 0.858 0.050
0.858 0.244 0.950
0.000 0.000 0.000
0.500 0.500 0.500
0.013 0.640 0.957
0.092 0.894 0.737
0.106 0.092 0.263
0.140 0.513 0.457
0.194 0.794 0.300
0.206 0.194 0.700
0.294 0.694 0.800
0.306 0.294 0.200
0.360 0.013 0.043
0.394 0.592 0.237
0.408 0.394 0.763
0.487 0.140 0.543
0.513 0.860 0.543
0.592 0.606 0.763
0.606 0.408 0.237
0.640 0.987 0.043
0.694 0.706 0.200
0.706 0.306 0.800
0.794 0.806 0.700
0.806 0.206 0.300
0.860 0.487 0.457
0.894 0.908 0.263
0.908 0.106 0.737
0.987 0.360 0.957
```

crystal system: tetragonal
formation energy without anion corrections: -1325 meV/atom
E: -25.16 eV per atom



Below is CoSb2Mo at its PBEsol-relaxed geometry, with properties calculated at the meta-GGA SCAN level.

POSCAR file:
```
CoSb2Mo
1.0
3.278 0.000 0.000
0.000 3.284 0.000
-0.333 0.000 6.192
Co Sb Mo
1 2 1
direct
0.000 0.000 0.000
0.476 0.500 0.244
0.524 0.500 0.756
0.000 0.000 0.500
```

crystal system: monoclinic
formation energy without anion corrections: 358 meV/atom
E: -31.32 eV per atom



Below is NbCrHg2Te at its PBEsol-relaxed geometry, with properties calculated at the meta-GGA SCAN level.

POSCAR file:
```
NbCrHg2Te
1.0
5.451 0.000 0.000
0.000 5.451 0.000
0.000 0.000 5.166
Nb Cr Hg Te
1 1 2 1
direct
0.000 0.000 0.000
0.500 0.500 0.000
0.000 0.500 0.500
0.500 0.000 0.500
0.000 0.000 0.500
```

crystal system: tetragonal
formation energy without anion corrections: 1161 meV/atom
E: -43.86 eV per atom



Below is CaMg2Cl at its PBEsol-relaxed geometry, with properties calculated at the meta-GGA SCAN level.

POSCAR file:
```
CaMg2Cl
1.0
3.588 0.000 0.000
0.000 5.559 0.000
0.000 0.000 5.736
Ca Mg Cl
1 2 1
direct
0.000 0.000 0.000
0.500 0.251 0.500
0.500 0.749 0.500
0.000 0.500 0.000
```

crystal system: orthorhombic
formation energy without anion corrections: -419 meV/atom
E: -7.32 eV per atom



Below is HfTlIn3 at its PBEsol-relaxed geometry, with properties calculated at the meta-GGA SCAN level.

POSCAR file:
```
HfTlIn3
1.0
5.390 0.000 0.000
0.000 5.390 0.000
0.000 0.000 5.390
Hf Tl In
1 1 3
direct
0.000 0.000 0.000
0.500 0.500 0.500
0.000 0.500 0.500
0.500 0.000 0.500
0.500 0.500 0.000
```

formation energy from the elements: 1.13 eV per atom
crystal system: cubic
E: -45.91 eV per atom



Below is TiNb2GeF at its PBEsol-relaxed geometry, with properties calculated at the meta-GGA SCAN level.

POSCAR file:
```
TiNb2GeF
1.0
4.799 0.000 0.000
0.000 4.799 0.000
0.000 0.000 4.657
Ti Nb Ge F
1 2 1 1
direct
0.000 0.000 0.000
0.000 0.500 0.500
0.500 0.000 0.500
0.000 0.000 0.500
0.500 0.500 0.000
```

crystal system: tetragonal
formation energy without anion corrections: 902 meV/atom
E: -20.08 eV per atom



Below is PtAu2 at its PBEsol-relaxed geometry, with properties calculated at the meta-GGA SCAN level.

POSCAR file:
```
PtAu2
1.0
0.000 3.732 3.732
3.732 0.000 3.732
3.732 3.732 0.000
Pt Au
2 4
direct
0.125 0.125 0.125
0.875 0.875 0.875
0.000 0.500 0.500
0.500 0.000 0.500
0.500 0.500 0.000
0.500 0.500 0.500
```

formation energy from the elements: 0.49 eV per atom
crystal system: cubic
E: -69.01 eV per atom



Below is LaAl2Ir2 at its PBEsol-relaxed geometry, with properties calculated at the meta-GGA SCAN level.

POSCAR file:
```
LaAl2Ir2
1.0
-2.147 2.147 5.037
2.147 -2.147 5.037
2.147 2.147 -5.037
La Al Ir
1 2 2
direct
0.000 0.000 0.000
0.366 0.366 0.000
0.634 0.634 0.000
0.250 0.750 0.500
0.750 0.250 0.500
```

formation energy from the elements: -1.01 eV per atom
crystal system: tetragonal
E: -41.17 eV per atom



Below is FeTc2Br at its PBEsol-relaxed geometry, with properties calculated at the meta-GGA SCAN level.

POSCAR file:
```
FeTc2Br
1.0
2.874 0.000 0.000
0.000 4.440 0.000
0.000 0.000 4.468
Fe Tc Br
1 2 1
direct
0.000 0.000 0.000
0.000 0.500 0.500
0.500 0.500 0.000
0.500 0.000 0.500
```

crystal system: orthorhombic
formation energy without anion corrections: 951 meV/atom
E: -25.98 eV per atom



Below is AlCu3 at its PBEsol-relaxed geometry, with properties calculated at the meta-GGA SCAN level.

POSCAR file:
```
AlCu3
1.0
5.139 0.000 0.000
-2.570 4.451 0.000
0.000 0.000 4.168
Al Cu
2 6
direct
0.333 0.667 0.250
0.667 0.333 0.750
0.165 0.331 0.750
0.165 0.835 0.750
0.331 0.165 0.250
0.669 0.835 0.750
0.835 0.165 0.250
0.835 0.669 0.250
```

formation energy from the elements: -0.26 eV per atom
crystal system: hexagonal
E: -13.60 eV per atom



Below is Co2ReH2 at its PBEsol-relaxed geometry, with properties calculated at the meta-GGA SCAN level.

POSCAR file:
```
Co2ReH2
1.0
-1.314 1.314 5.713
1.314 -1.314 5.713
1.314 1.314 -5.713
Co Re H
2 1 2
direct
0.154 0.154 0.000
0.846 0.846 0.000
0.500 0.500 0.000
0.250 0.750 0.500
0.750 0.250 0.500
```

crystal system: tetragonal
E: -22.38 eV per atom



Below is TbAlCu at its PBEsol-relaxed geometry, with properties calculated at the meta-GGA SCAN level.

POSCAR file:
```
TbAlCu
1.0
-2.686 2.703 3.676
2.686 -2.703 3.676
2.686 2.703 -3.676
Tb Al Cu
2 2 2
direct
0.370 0.120 0.250
0.630 0.880 0.750
0.000 0.500 0.500
0.500 0.500 0.000
0.000 0.000 0.500
0.000 0.500 0.000
```

formation energy from the elements: -0.45 eV per atom
crystal system: orthorhombic
E: -23.68 eV per atom



Below is LiAlOF2 at its PBEsol-relaxed geometry, with properties calculated at the meta-GGA SCAN level.

POSCAR file:
```
LiAlOF2
1.0
3.276 0.000 0.000
0.000 3.276 0.000
0.000 0.000 3.917
Li Al O F
1 1 1 2
direct
0.000 0.000 0.000
0.500 0.500 0.500
0.000 0.000 0.500
0.000 0.500 0.000
0.500 0.000 0.000
```

crystal system: tetragonal
formation energy without anion corrections: -1977 meV/atom
E: -6.67 eV per atom



Below is TaZn2Co at its PBEsol-relaxed geometry, with properties calculated at the meta-GGA SCAN level.

POSCAR file:
```
TaZn2Co
1.0
2.911 0.000 0.000
0.000 2.911 0.000
0.000 0.000 6.414
Ta Zn Co
1 2 1
direct
0.000 0.000 0.000
0.000 0.000 0.544
0.500 0.500 0.298
0.500 0.500 0.772
```

formation energy from the elements: -0.05 eV per atom
crystal system: tetragonal
E: -27.78 eV per atom



Below is LiMnAl2 at its PBEsol-relaxed geometry, with properties calculated at the meta-GGA SCAN level.

POSCAR file:
```
LiMnAl2
1.0
4.686 -1.413 0.000
4.686 1.413 0.000
-1.508 0.000 3.987
Li Mn Al
1 1 2
direct
0.000 0.000 0.000
0.254 0.254 0.689
0.519 0.519 0.528
0.756 0.756 0.193
```

formation energy from the elements: -0.18 eV per atom
crystal system: monoclinic
E: -9.22 eV per atom



Below is MgMnPb2 at its PBEsol-relaxed geometry, with properties calculated at the meta-GGA SCAN level.

POSCAR file:
```
MgMnPb2
1.0
3.347 0.000 0.000
0.000 3.347 0.000
0.000 0.000 8.179
Mg Mn Pb
1 1 2
direct
0.000 0.000 0.000
0.000 0.000 0.500
0.500 0.500 0.273
0.500 0.500 0.727
```

formation energy from the elements: 0.01 eV per atom
crystal system: tetragonal
E: -43.69 eV per atom



Below is MgTi2O5 at its PBEsol-relaxed geometry, with properties calculated at the meta-GGA SCAN level.

POSCAR file:
```
MgTi2O5
1.0
1.852 -5.014 0.000
1.852 5.014 0.000
0.000 0.000 11.304
Mg Ti O
2 4 10
direct
0.104 0.896 0.750
0.896 0.104 0.250
0.203 0.797 0.098
0.203 0.797 0.402
0.797 0.203 0.598
0.797 0.203 0.902
0.039 0.961 0.128
0.039 0.961 0.372
0.238 0.762 0.577
0.238 0.762 0.923
0.300 0.700 0.250
0.700 0.300 0.750
0.762 0.238 0.077
0.762 0.238 0.423
0.961 0.039 0.628
0.961 0.039 0.872
```

crystal system: orthorhombic
formation energy without anion corrections: -3173 meV/atom
E: -11.70 eV per atom



Below is Ba6Mg23 at its PBEsol-relaxed geometry, with properties calculated at the meta-GGA SCAN level.

POSCAR file:
```
Ba6Mg23
1.0
0.000 7.528 7.528
7.528 0.000 7.528
7.528 7.528 0.000
Ba Mg
6 23
direct
0.212 0.212 0.788
0.212 0.788 0.212
0.212 0.788 0.788
0.788 0.212 0.212
0.788 0.212 0.788
0.788 0.788 0.212
0.000 0.000 0.500
0.000 0.500 0.000
0.000 0.500 0.500
0.133 0.622 0.622
0.176 0.176 0.176
0.176 0.176 0.471
0.176 0.471 0.176
0.378 0.378 0.378
0.378 0.378 0.867
0.378 0.867 0.378
0.471 0.176 0.176
0.500 0.000 0.000
0.500 0.000 0.500
0.500 0.500 0.000
0.500 0.500 0.500
0.529 0.824 0.824
0.622 0.133 0.622
0.622 0.622 0.133
0.622 0.622 0.622
0.824 0.529 0.824
0.824 0.824 0.529
0.824 0.824 0.824
0.867 0.378 0.378
```

formation energy from the elements: -0.08 eV per atom
crystal system: cubic
E: -12.21 eV per atom